Here is Pb2WO after structural relaxation from Alexandria. Energies are from PBE+U.

Structure (POSCAR):
```
Pb2WO
1.0
-1.009 -4.579 -1.767
0.825 -4.028 2.864
-3.867 -2.600 1.841
Pb O W
2 1 1
Direct
0.250 0.250 0.250
0.750 0.750 0.750
0.000 0.000 0.000
0.500 0.500 0.500
```

Results
- Symmetry: Fm-3m (225)
- Polymorph energy (0 for the lowest one): 0.0 meV/atom
- Total energy: -16.4 eV/cell